## w
Density functional theory data (PBE) for an optimized crystal structure of Mg6ZnSiO8.

The structure in POSCAR format:
```
Mg6ZnSiO8
1.0
4.3234 0.0000 0.0000
0.0000 4.3234 0.0000
0.0000 0.0000 8.6586
Mg Zn Si O
6 1 1 8
Cartesian
0.0000 0.0000 0.0000 Mg
0.0000 2.1617 2.1401 Mg
0.0000 2.1617 6.5185 Mg
2.1617 0.0000 2.1401 Mg
2.1617 0.0000 6.5185 Mg
2.1617 2.1617 0.0000 Mg
0.0000 0.0000 4.3293 Zn
2.1617 2.1617 4.3293 Si
0.0000 0.0000 2.1415 O
0.0000 0.0000 6.5171 O
0.0000 2.1617 0.0000 O
0.0000 2.1617 4.3293 O
2.1617 0.0000 0.0000 O
2.1617 0.0000 4.3293 O
2.1617 2.1617 2.0680 O
2.1617 2.1617 6.5905 O
```

Properties
space group: P4/mmm, No. 123

=====

## x
Density functional theory data (PBE) for an optimized crystal structure of Mg6ZnSiO8.

The structure in POSCAR format:
```
Mg6ZnSiO8
1.0
4.3302 0.0000 0.0000
0.0000 4.3302 0.0000
0.0000 0.0000 8.6388
Mg Zn Si O
6 1 1 8
Cartesian
0.0000 0.0000 0.0000 Mg
0.0000 0.0000 4.3194 Mg
0.0000 2.1651 2.1295 Mg
0.0000 2.1651 6.5094 Mg
2.1651 0.0000 2.1295 Mg
2.1651 0.0000 6.5094 Mg
2.1651 2.1651 0.0000 Zn
2.1651 2.1651 4.3194 Si
0.0000 0.0000 2.1636 O
0.0000 0.0000 6.4752 O
0.0000 2.1651 0.0000 O
0.0000 2.1651 4.3194 O
2.1651 0.0000 0.0000 O
2.1651 0.0000 4.3194 O
2.1651 2.1651 2.0987 O
2.1651 2.1651 6.5402 O
```

Properties
space group: P4/mmm, No. 123

=====

Looking at the structures above, which would you pick as the most stable? I would pick x.